Below is NaMnGaF6 after structural relaxation, with properties calculated at the PBE with a Hubbard U level.

POSCAR file:
```
NaMnGaF6
1.0
5.3926 0.0000 0.0000
-2.6963 4.6701 0.0000
0.0000 0.0000 9.1152
Na Mn Ga F
2 2 2 12
Cartesian
0.0000 3.1134 2.2788
2.6963 1.5567 6.8364
0.0000 0.0000 0.0000
0.0000 0.0000 4.5576
0.0000 3.1134 6.8364
2.6963 1.5567 2.2788
-0.7040 1.6851 5.7420
-1.5889 3.2179 7.9307
0.7040 1.6851 7.9307
-0.8849 4.4373 5.7420
1.8114 0.2329 1.1844
1.1074 1.4523 3.3732
1.5889 3.2179 5.7420
0.8849 4.4373 7.9307
3.5812 0.2329 3.3732
1.9923 2.9850 1.1844
4.2852 1.4523 1.1844
3.4003 2.9850 3.3732
```

The value obtained for the density of states at the Fermi level is 0.00 states/eV per cell. The value obtained for the total energy is -5.259 eV/atom. Its space group is P-31c, No. 163.